Density functional theory data (GGA-PBE) for an optimized crystal structure of SrMgAu.

## Properties
**Theoretical density**: 5.6 Mg/m³
**Volume**: 91.92 Å³ per cell
**ΔH_f (0 K)**: -454.9 meV per atom

Cell and atoms, written as POSCAR:
```
SrMgAu
1.0
5.0658 0.0000 0.0000
2.5329 4.3871 0.0000
2.5329 1.4624 4.1362
Au Mg Sr
1 1 1
Direct
0.7500 0.7500 0.7500 Au
0.0000 0.0000 0.0000 Mg
0.5000 0.5000 0.5000 Sr
```

=====

Density functional theory data (GGA-PBE) for an optimized crystal structure of SrMgAu3.

## Properties
**Excess energy over the best structure of this formula in the dataset**: 0.730 eV per formula unit
**Theoretical density**: 8.9 Mg/m³
**Volume**: 131.17 Å³ per cell
**ΔH_f (0 K)**: -371.3 meV per atom

Cell and atoms, written as POSCAR:
```
SrMgAu3
1.0
5.0809 0.0000 0.0000
0.0000 5.0809 0.0000
0.0000 0.0000 5.0809
Sr Mg Au
1 1 3
Direct
0.5000 0.5000 0.5000 Sr
0.0000 0.0000 0.0000 Mg
0.0000 0.5000 0.0000 Au
0.0000 0.0000 0.5000 Au
0.5000 0.0000 0.0000 Au
```

=====

Density functional theory data (GGA-PBE) for an optimized crystal structure of SrMg5Au3.

## Properties
**Theoretical density**: 6.3 Mg/m³
**Volume**: 424.04 Å³ per cell
**ΔH_f (0 K)**: -501.6 meV per atom

Cell and atoms, written as POSCAR:
```
SrMg5Au3
1.0
-0.7945 -2.4206 3.6369
7.0941 -1.4301 -2.1129
4.2739 9.9939 7.5853
Sr Mg Au
2 10 6
Direct
0.8414 0.6827 0.7500 Sr
0.1586 0.3173 0.2500 Sr
0.8015 0.6031 0.4397 Mg
0.1985 0.3969 0.9397 Mg
0.0000 0.0000 0.5000 Mg
0.0000 0.0000 0.0000 Mg
0.4419 0.8839 0.1425 Mg
0.5581 0.1161 0.8575 Mg
0.5581 0.1161 0.6425 Mg
0.8015 0.6031 0.0603 Mg
0.1985 0.3969 0.5603 Mg
0.4419 0.8839 0.3575 Mg
0.3837 0.7675 0.9462 Au
0.8858 0.7716 0.2500 Au
0.3837 0.7675 0.5538 Au
0.6163 0.2325 0.4462 Au
0.1142 0.2284 0.7500 Au
0.6163 0.2325 0.0538 Au
```

=====

Density functional theory data (GGA-PBE) for an optimized crystal structure of Sr6MgAu2.

## Properties
**Theoretical density**: 4.5 Mg/m³
**Volume**: 696.28 Å³ per cell
**ΔH_f (0 K)**: -390.2 meV per atom

Cell and atoms, written as POSCAR:
```
Sr6MgAu2
1.0
-7.4269 6.2294 0.5621
3.6360 -1.0214 -8.9452
-2.6211 -9.0849 2.2076
Sr Mg Au
12 2 4
Direct
0.5285 0.7069 0.8216 Sr
0.4715 0.2931 0.1784 Sr
0.1147 0.2931 0.8216 Sr
0.8853 0.7069 0.1784 Sr
0.8053 0.7560 0.5613 Sr
0.1947 0.2440 0.4387 Sr
0.1947 0.7560 0.9507 Sr
0.8053 0.2440 0.0493 Sr
0.6839 0.3440 0.6601 Sr
0.3161 0.6560 0.3399 Sr
0.3161 0.9762 0.6601 Sr
0.6839 0.0238 0.3399 Sr
0.0000 0.5000 0.5000 Mg
0.0000 0.0000 0.0000 Mg
0.5000 0.3670 0.8670 Au
0.5000 0.6330 0.1330 Au
0.7004 0.0000 0.7004 Au
0.2996 0.0000 0.2996 Au
```

=====

Density functional theory data (GGA-PBE) for an optimized crystal structure of SrMgAu3.

## Properties
**Excess energy over the best structure of this formula in the dataset**: 4.706 eV per formula unit
**Theoretical density**: 6.3 Mg/m³
**Volume**: 185.24 Å³ per cell
**ΔH_f (0 K)**: 423.9 meV per atom

Cell and atoms, written as POSCAR:
```
SrMgAu3
1.0
5.7005 0.0000 0.0000
0.0000 5.7005 0.0000
0.0000 0.0000 5.7005
Sr Mg Au
1 1 3
Direct
0.0000 0.0000 0.0000 Sr
0.5000 0.5000 0.5000 Mg
0.0000 0.5000 0.0000 Au
0.0000 0.0000 0.5000 Au
0.5000 0.0000 0.0000 Au
```

=====

Density functional theory data (GGA-PBE) for an optimized crystal structure of SrMg2Au6.

## Properties
**Theoretical density**: 11.1 Mg/m³
**Volume**: 197.39 Å³ per cell
**ΔH_f (0 K)**: -454.9 meV per atom

Cell and atoms, written as POSCAR:
```
SrMg2Au6
1.0
3.6782 0.0000 0.0000
1.8391 7.8224 1.4133
1.8391 2.9295 7.3896
Sr Mg Au
1 2 6
Direct
0.0000 0.0000 0.0000 Sr
0.8604 0.6396 0.6396 Mg
0.1396 0.3604 0.3604 Mg
0.6814 0.0044 0.6327 Au
0.3186 0.9956 0.3673 Au
0.3186 0.3673 0.9956 Au
0.5000 0.6732 0.3268 Au
0.5000 0.3268 0.6732 Au
0.6814 0.6327 0.0044 Au
```